1.
## AlBiBr6 (SCAN)

Data for a PBEsol-optimized structure of AlBiBr6.

Computed properties:
Spin magnetization (μB per formula unit): 0.00
Symmetry: P-1
Total energy (eV per atom): -26.34
Calculated density (Mg/m³): 4.40
Calculated volume (Å³/atom): 33.77
Energy relative to the elements, uncorrected (eV/atom): -0.952

Cell: 7.767 7.801 9.666 Å, 102.18 104.60 98.98°
Fractional coordinates of all 16 atoms:
Al (0.184, 0.284, 0.347)
Al (0.816, 0.716, 0.653)
Bi (0.307, 0.484, 0.791)
Bi (0.693, 0.516, 0.209)
Br (0.039, 0.301, 0.853)
Br (0.124, 0.810, 0.792)
Br (0.242, 0.144, 0.541)
Br (0.256, 0.585, 0.467)
Br (0.349, 0.197, 0.189)
Br (0.430, 0.699, 0.090)
Br (0.570, 0.301, 0.910)
Br (0.651, 0.803, 0.811)
Br (0.744, 0.415, 0.533)
Br (0.758, 0.856, 0.459)
Br (0.876, 0.190, 0.208)
Br (0.961, 0.699, 0.147)

2.
## Ba2LaCu3O7 (SCAN)

Data for a PBEsol-optimized structure of Ba2LaCu3O7.

Computed properties:
Energy relative to the lowest polymorph listed for this composition (eV/f.u.): 0.78
Spin magnetization (μB per formula unit): 0.00
Symmetry: P4mm
Total energy (eV per atom): -18.24
Calculated density (Mg/m³): 6.76
Calculated volume (Å³/atom): 13.53
Energy relative to the elements, uncorrected (eV/atom): -1.976

Cell: 3.929 3.929 11.398 Å, 90.00 90.00 90.00°
Fractional coordinates of all 13 atoms:
Ba (0.000, 0.000, 0.000)
Ba (0.000, 0.000, 0.339)
La (0.000, 0.000, 0.666)
Cu (0.500, 0.500, 0.161)
Cu (0.500, 0.500, 0.520)
Cu (0.500, 0.500, 0.822)
O (0.000, 0.500, 0.184)
O (0.000, 0.500, 0.523)
O (0.000, 0.500, 0.795)
O (0.500, 0.000, 0.184)
O (0.500, 0.000, 0.523)
O (0.500, 0.000, 0.795)
O (0.500, 0.500, 0.992)

3.
## Fe2CoCu (SCAN)

Data for a PBEsol-optimized structure of Fe2CoCu.

Computed properties:
Energy relative to the lowest polymorph listed for this composition (eV/f.u.): 0.00
Energy of formation (eV/atom): 0.016
Spin magnetization (μB per formula unit): 7.11
Symmetry: Pm
Total energy (eV per atom): -17.18
Calculated density (Mg/m³): 8.82
Calculated volume (Å³/atom): 11.02

Cell: 2.406 3.940 4.736 Å, 90.00 101.04 90.00°
Fractional coordinates of all 4 atoms:
Fe (0.000, 0.000, 0.000)
Fe (0.242, 0.500, 0.743)
Co (0.765, 0.500, 0.234)
Cu (0.518, 0.000, 0.495)

4.
## GeP2SeO (SCAN)

Data for a PBEsol-optimized structure of GeP2SeO.

Computed properties:
Spin magnetization (μB per formula unit): 0.00
Symmetry: P4/mmm
Total energy (eV per atom): -12.62
Calculated density (Mg/m³): 4.50
Calculated volume (Å³/atom): 16.95
Energy relative to the elements, uncorrected (eV/atom): 0.617

Cell: 4.803 4.803 3.674 Å, 90.00 90.00 90.00°
Fractional coordinates of all 5 atoms:
Ge (0.000, 0.000, 0.000)
P (0.000, 0.500, 0.500)
P (0.500, 0.000, 0.500)
Se (0.500, 0.500, 0.500)
O (0.500, 0.500, 0.000)

5.
## KDyH2S2O9 (SCAN)

Data for a PBEsol-optimized structure of KDyH2S2O9.

Computed properties:
Spin magnetization (μB per formula unit): 0.00
Symmetry: P2_1/c
Total energy (eV per atom): -11.33
Calculated density (Mg/m³): 3.72
Calculated volume (Å³/atom): 12.25

Cell: 10.099 8.048 10.382 Å, 90.00 119.41 90.00°
Fractional coordinates of all 60 atoms:
K (0.203, 0.163, 0.187)
K (0.203, 0.337, 0.687)
K (0.797, 0.663, 0.313)
K (0.797, 0.837, 0.813)
Dy (0.252, 0.645, 0.041)
Dy (0.252, 0.855, 0.541)
Dy (0.748, 0.145, 0.459)
Dy (0.748, 0.355, 0.959)
H (0.339, 0.000, 0.000)
H (0.339, 0.500, 0.500)
H (0.446, 0.562, 0.661)
H (0.446, 0.938, 0.161)
H (0.554, 0.062, 0.839)
H (0.554, 0.438, 0.339)
H (0.661, 0.000, 0.000)
H (0.661, 0.500, 0.500)
S (0.053, 0.635, 0.181)
S (0.053, 0.865, 0.681)
S (0.493, 0.211, 0.593)
S (0.493, 0.289, 0.093)
S (0.507, 0.711, 0.907)
S (0.507, 0.789, 0.407)
S (0.947, 0.135, 0.319)
S (0.947, 0.365, 0.819)
O (0.062, 0.734, 0.584)
O (0.062, 0.766, 0.084)
O (0.090, 0.703, 0.327)
O (0.090, 0.797, 0.827)
O (0.104, 0.066, 0.386)
O (0.104, 0.434, 0.886)
O (0.161, 0.504, 0.191)
O (0.161, 0.996, 0.691)
O (0.343, 0.580, 0.576)
O (0.343, 0.920, 0.076)
O (0.382, 0.621, 0.914)
O (0.382, 0.879, 0.414)
O (0.395, 0.200, 0.956)
O (0.395, 0.300, 0.456)
O (0.404, 0.092, 0.631)
O (0.404, 0.408, 0.131)
O (0.438, 0.670, 0.281)
O (0.438, 0.830, 0.781)
O (0.562, 0.170, 0.219)
O (0.562, 0.330, 0.719)
O (0.596, 0.592, 0.869)
O (0.596, 0.908, 0.369)
O (0.605, 0.700, 0.544)
O (0.605, 0.800, 0.044)
O (0.618, 0.121, 0.586)
O (0.618, 0.379, 0.086)
O (0.657, 0.080, 0.924)
O (0.657, 0.420, 0.424)
O (0.839, 0.004, 0.309)
O (0.839, 0.496, 0.809)
O (0.896, 0.566, 0.114)
O (0.896, 0.934, 0.614)
O (0.910, 0.203, 0.173)
O (0.910, 0.297, 0.673)
O (0.938, 0.234, 0.916)
O (0.938, 0.266, 0.416)

6.
## Cr2BN (SCAN)

Data for a PBEsol-optimized structure of Cr2BN.

Computed properties:
Spin magnetization (μB per formula unit): 0.00
Symmetry: Fm-3m
Total energy (eV per atom): -12.94
Calculated density (Mg/m³): 6.63
Calculated volume (Å³/atom): 8.06
Energy relative to the elements, uncorrected (eV/atom): 0.437

Cell: 3.572 3.572 3.572 Å, 60.00 60.00 60.00°
Fractional coordinates of all 4 atoms:
Cr (0.250, 0.250, 0.250)
Cr (0.750, 0.750, 0.750)
B (0.000, 0.000, 0.000)
N (0.500, 0.500, 0.500)